AlGa8Ni6 | PBE | optimized geometry

Results
E_form ... -0.4340 eV/atom
Mass density ... 7.36 Mg/m³
D(E_F) ... 5.00 states/eV/f.u.
Total DFT energy (no corrections) ... -69.155 eV/cell

Cell and atoms, written as POSCAR:
```
AlGa8Ni6
1.0
5.854 -0.045 2.527
1.644 5.618 2.527
-0.060 -0.045 6.375
Al Ga Ni
1 8 6
Direct
0.000 0.000 0.000
0.210 0.553 0.879
0.121 0.790 0.447
0.447 0.121 0.790
0.667 0.667 0.667
0.333 0.333 0.333
0.553 0.879 0.210
0.879 0.210 0.553
0.790 0.447 0.121
0.047 0.381 0.714
0.286 0.953 0.619
0.619 0.286 0.953
0.381 0.714 0.047
0.714 0.047 0.381
0.953 0.619 0.286
```